[1]
Material: BeRuPb
Method: DFT, SCAN
State: PBEsol geometry

Energy relative to the elements: 0.38 eV/atom

abc: 4.0545 4.0545 4.0545
angles: 60.00 60.00 60.00
Fractional coordinates of all 3 atoms:
Be: 0.0000 0.0000 0.0000
Ru: 0.2500 0.2500 0.2500
Pb: 0.7500 0.7500 0.7500



[2]
Material: Be2SiRuPb
Method: DFT, SCAN
State: PBEsol geometry

Energy relative to the elements, uncorrected: 1.684 eV per atom

abc: 4.3130 4.3130 5.2544
angles: 90.00 90.00 90.00
Fractional coordinates of all 5 atoms:
Be: 0.0000 0.5000 0.0000
Be: 0.5000 0.0000 0.0000
Si: 0.0000 0.0000 0.5000
Ru: 0.5000 0.5000 0.5000
Pb: 0.5000 0.5000 0.0000



[3]
Material: BeTePbS2
Method: DFT, SCAN
State: PBEsol geometry

Energy relative to the elements, uncorrected: 0.455 eV per atom

abc: 5.2754 5.2754 4.4480
angles: 90.00 90.00 90.00
Fractional coordinates of all 5 atoms:
Be: 0.0000 0.0000 0.0000
Te: 0.0000 0.0000 0.5000
Pb: 0.5000 0.5000 0.0000
S: 0.0000 0.5000 0.5000
S: 0.5000 0.0000 0.5000



[4]
Material: BeSbPb
Method: DFT, SCAN
State: PBEsol geometry

Energy relative to the elements, uncorrected: 0.342 eV per atom

abc: 4.6406 4.6406 4.6406
angles: 60.00 60.00 60.00
Fractional coordinates of all 3 atoms:
Be: 0.0000 0.0000 0.0000
Sb: 0.2500 0.2500 0.2500
Pb: 0.7500 0.7500 0.7500



[5]
Material: BeSb2Pb
Method: DFT, SCAN
State: PBEsol geometry

Energy relative to the elements, uncorrected: 0.308 eV per atom

abc: 4.7630 3.8743 5.6346
angles: 90.00 105.61 90.00
Fractional coordinates of all 4 atoms:
Be: 0.0000 0.0000 0.0000
Sb: 0.2451 0.0000 0.4378
Sb: 0.9365 0.5000 0.7192
Pb: 0.5551 0.5000 0.1319



[6]
Material: BeSbPb
Method: DFT, SCAN
State: PBEsol geometry

Energy relative to the elements, uncorrected: 0.196 eV per atom

abc: 4.0078 4.0078 5.0397
angles: 90.00 90.00 120.00
Fractional coordinates of all 3 atoms:
Be: 0.0000 0.0000 0.0000
Sb: 0.6667 0.3333 0.1487
Pb: 0.3333 0.6667 0.6487



[7]
Material: BeSb2Pb
Method: DFT, SCAN
State: PBEsol geometry

Energy relative to the elements, uncorrected: 0.403 eV per atom

abc: 3.2528 3.2528 9.1324
angles: 90.00 90.00 105.76
Fractional coordinates of all 4 atoms:
Be: 0.0000 0.0000 0.0000
Sb: 0.0000 0.0000 0.4841
Sb: 0.5000 0.5000 0.1745
Pb: 0.5000 0.5000 0.7861



[8]
Material: BeSbPb2
Method: DFT, SCAN
State: PBEsol geometry

Energy relative to the elements, uncorrected: 0.273 eV per atom

abc: 7.9402 7.9402 7.9402
angles: 154.11 152.56 38.08
Fractional coordinates of all 4 atoms:
Be: 0.0000 0.0000 0.0000
Sb: 0.5000 0.5000 0.0000
Pb: 0.1709 0.6709 0.5000
Pb: 0.8291 0.3291 0.5000



So what do the calculations give for V? Going down the list: 15.71; 19.55; 24.76; 23.55; 25.03; 23.37; 23.25; 25.14 Å³ per atom.
So what do the calculations give for total DFT energy (no corrections)? Going down the list: -113.83; -120.91; -134.37; -116.37; -153.42; -116.81; -153.04; -192.08 eV per formula unit.